No. 1
Tb3CeSb4: relaxed, PBE.

Output
V = 245 Å³ per cell
uncorrected formation energy = -1.122 eV per atom
space-group type = I4/mmm
D(E_F) = 7.121 states/eV/cell
crystal system = tetragonal

```
data_Tb3CeSb4
_chemical_formula_sum 'Tb3 Ce1 Sb4'
_space_group_name_H-M_alt 'P 1'
_space_group_IT_number 1
_cell_length_a 6.261
_cell_length_b 6.261
_cell_length_c 7.664
_cell_angle_alpha 114.11
_cell_angle_beta 114.11
_cell_angle_gamma 90.00
loop_
_space_group_symop_operation_xyz
'x,y,z'
loop_
_atom_site_label
_atom_site_fract_x
_atom_site_fract_y
_atom_site_fract_z
Sb1 0.000 0.500 0.000
Sb2 0.500 0.000 0.000
Sb3 0.251 0.251 0.502
Sb4 0.749 0.749 0.498
Tb1 0.500 0.500 0.000
Tb2 0.750 0.250 0.500
Tb3 0.250 0.750 0.500
Ce1 0.000 0.000 0.000
```



No. 2
La3NdTe6: relaxed, PBE.

Output
V = 747 Å³ per cell
uncorrected formation energy = -1.494 eV per atom
space-group type = P2_1/c
crystal system = monoclinic

```
data_La3NdTe6
_chemical_formula_sum 'La6 Nd2 Te12'
_space_group_name_H-M_alt 'P 1'
_space_group_IT_number 1
_cell_length_a 7.574
_cell_length_b 8.505
_cell_length_c 11.592
_cell_angle_alpha 90.00
_cell_angle_beta 91.08
_cell_angle_gamma 90.00
loop_
_space_group_symop_operation_xyz
'x,y,z'
loop_
_atom_site_label
_atom_site_fract_x
_atom_site_fract_y
_atom_site_fract_z
La1 0.551 0.885 0.747
La2 0.500 0.500 0.000
La3 0.449 0.115 0.253
La4 0.051 0.615 0.247
La5 0.000 0.000 0.500
La6 0.949 0.385 0.753
Nd1 0.500 0.500 0.500
Nd2 0.000 0.000 0.000
Te1 0.663 0.177 0.916
Te2 0.660 0.179 0.580
Te3 0.665 0.441 0.253
Te4 0.335 0.559 0.747
Te5 0.340 0.821 0.420
Te6 0.337 0.823 0.084
Te7 0.163 0.323 0.416
Te8 0.160 0.321 0.080
Te9 0.165 0.059 0.753
Te10 0.835 0.941 0.247
Te11 0.840 0.679 0.920
Te12 0.837 0.677 0.584
```



No. 3
HfAlTc2: relaxed, PBE.

Output
V = 69 Å³ per cell
energy relative to the elements = 0.438 eV per atom
space-group type = Immm
D(E_F) = 3.938 states/eV/cell
crystal system = orthorhombic

```
data_HfAlTc2
_chemical_formula_sum 'Hf1 Al1 Tc2'
_space_group_name_H-M_alt 'P 1'
_space_group_IT_number 1
_cell_length_a 5.913
_cell_length_b 5.913
_cell_length_c 5.913
_cell_angle_alpha 55.45
_cell_angle_beta 153.03
_cell_angle_gamma 132.53
loop_
_space_group_symop_operation_xyz
'x,y,z'
loop_
_atom_site_label
_atom_site_fract_x
_atom_site_fract_y
_atom_site_fract_z
Hf1 0.000 0.500 0.500
Tc1 0.000 0.225 0.225
Tc2 0.000 0.775 0.775
Al1 0.000 0.000 0.000
```